(1)
Material: CuBRh2Pb
Method: DFT, PBE-GGA
State: relaxed

abc: 4.201 4.201 4.153
angles: 90.00 90.00 90.00
Sites, in units of the cell vectors:
Pb1 0.500 0.500 0.500
Rh1 0.000 0.500 0.000
Rh2 0.500 0.000 0.000
B1 0.000 0.000 0.000
Cu1 0.000 0.000 0.500

Summary:
ΔE_f (eV/atom): -0.0422
Space-group type: P4/mmm (123)
Total DFT energy (no corrections) (eV per formula unit): -29.40


(2)
Material: MnVTc
Method: DFT, PBE-GGA
State: relaxed

abc: 5.123 4.226 8.923
angles: 90.00 125.16 90.00
Sites, in units of the cell vectors:
V1 0.170 0.500 0.867
V2 0.170 0.000 0.367
V3 0.498 0.000 0.034
V4 0.498 0.500 0.534
Mn1 0.002 0.000 0.034
Mn2 0.002 0.500 0.534
Mn3 0.338 0.500 0.201
Mn4 0.338 0.000 0.701
Tc1 0.667 0.500 0.862
Tc2 0.841 0.500 0.199
Tc3 0.841 0.000 0.699
Tc4 0.667 0.000 0.362

Summary:
ΔE_f (eV/atom): -0.1167
Space-group type: Cm (8)
Total DFT energy (no corrections) (eV per formula unit): -29.00


(3)
Material: TlInHg2Br4
Method: DFT, PBE-GGA
State: relaxed

abc: 7.794 9.486 9.695
angles: 136.32 127.39 80.55
Sites, in units of the cell vectors:
Br1 0.354 0.757 0.224
Br2 0.105 0.097 0.819
Br3 0.728 0.366 0.083
Br4 0.747 0.689 0.699
Hg1 0.263 0.412 0.592
Hg2 0.702 0.027 0.191
In1 0.731 0.714 0.449
Tl1 0.757 0.325 0.718

Summary:
Space-group type: P1 (1)
Total DFT energy (no corrections) (eV per formula unit): -17.23
ΔE_f (raw) (eV/atom): -0.6039


(4)
Material: NbOsC3
Method: DFT, PBE-GGA
State: relaxed

abc: 4.070 4.070 4.070
angles: 90.00 90.00 90.00
Sites, in units of the cell vectors:
Nb1 0.000 0.000 0.000
C1 0.000 0.000 0.500
C2 0.000 0.500 0.000
C3 0.500 0.000 0.000
Os1 0.500 0.500 0.500

Summary:
ΔE_f (eV/atom): 2.7425
Space-group type: Pm-3m (221)
Total DFT energy (no corrections) (eV per formula unit): -35.26


(5)
Material: NaZrOsO6
Method: DFT, PBE-GGA
State: relaxed

abc: 5.093 5.392 5.392
angles: 120.00 90.00 90.00
Sites, in units of the cell vectors:
O1 0.289 0.305 0.279
O2 0.711 0.305 0.026
O3 0.289 0.974 0.695
O4 0.711 0.974 0.279
O5 0.289 0.721 0.026
O6 0.711 0.721 0.695
Os1 0.500 0.000 0.000
Na1 0.000 0.333 0.667
Zr1 0.500 0.667 0.333

Summary:
Space-group type: P312 (149)
Total DFT energy (no corrections) (eV per formula unit): -66.96
ΔE_f (raw) (eV/atom): -1.7907


(6)
Material: Mg2FeAs
Method: DFT, PBE-GGA
State: relaxed

abc: 3.736 3.840 5.415
angles: 69.29 90.00 90.00
Sites, in units of the cell vectors:
Mg1 0.000 0.973 0.930
Mg2 0.500 0.279 0.316
As1 0.000 0.693 0.489
Fe1 0.500 0.555 0.765

Summary:
ΔE_f (eV/atom): -0.0885
Space-group type: Amm2 (38)
Total DFT energy (no corrections) (eV per formula unit): -16.66